# 1
RbCdP2S: relaxed, GGA-PBEsol.

```
5
Lattice="5.007 0.000 0.000 0.000 5.007 0.000 0.000 0.000 5.221" Properties=species:S:1:pos:R:3 pbc="T T T"
P 0.000 2.504 0.000
P 2.504 0.000 0.000
S 0.000 0.000 2.611
Rb 2.504 2.504 2.611
Cd 0.000 0.000 0.000
```

Values from the calculation:
Magnetic moment ... 1.25 μB/f.u.
Formation energy (no corrections) ... 0.524 eV per atom
Space-group type ... P4/mmm, No. 123


# 2
CdIn2Se4: relaxed, GGA-PBEsol.

```
7
Lattice="-4.074 -2.831 -3.065 -2.401 -1.914 4.958 -0.136 7.042 -0.776" Properties=species:S:1:pos:R:3 pbc="T T T"
Cd 0.000 0.000 0.000
Se -4.757 -1.420 -0.936
Se -3.597 -0.722 2.923
Se -0.880 4.515 -0.552
Se -3.986 2.223 0.797
In -3.237 -2.372 0.946
In -3.723 0.920 -1.448
```

Values from the calculation:
Magnetic moment ... 0.00 μB/f.u.
Formation energy (no corrections) ... -0.538 eV per atom
Space-group type ... I-4, No. 82
Offset from the most stable computed form ... 0.000 eV per atom


# 3
YMgCu: relaxed, GGA-PBEsol.

```
6
Lattice="4.053 0.000 0.000 0.000 4.053 0.000 -2.026 -2.026 7.646" Properties=species:S:1:pos:R:3 pbc="T T T"
Y 0.000 0.000 4.928
Y 2.026 2.026 2.718
Mg 2.026 0.000 0.000
Mg 0.000 2.026 0.000
Cu 2.026 2.026 5.684
Cu 0.000 0.000 1.962
```

Values from the calculation:
Magnetic moment ... 0.00 μB/f.u.
Space-group type ... I4/mmm, No. 139
Offset from the most stable computed form ... 0.067 eV per atom
Energy of formation from the pure elements ... -130 meV/atom


# 4
AlInTc2: relaxed, GGA-PBEsol.

```
4
Lattice="2.799 0.004 0.006 -1.016 5.031 -0.018 -1.016 -2.381 4.432" Properties=species:S:1:pos:R:3 pbc="T T T"
Al 1.400 0.002 0.003
Tc -0.508 2.515 -0.009
Tc -0.508 -1.191 2.216
In 0.383 1.327 2.210
```

Values from the calculation:
Magnetic moment ... 0.00 μB/f.u.
Space-group type ... C2/m, No. 12
Offset from the most stable computed form ... 0.156 eV per atom
Energy of formation from the pure elements ... 233 meV/atom


# 5
In2HgBr: relaxed, GGA-PBEsol.

```
4
Lattice="3.699 0.000 0.000 0.000 3.699 0.000 0.000 0.000 7.621" Properties=species:S:1:pos:R:3 pbc="T T T"
Hg 1.849 1.849 3.810
Br 1.849 1.849 0.000
In 0.000 0.000 5.611
In 0.000 0.000 2.009
```

Values from the calculation:
Magnetic moment ... 0.00 μB/f.u.
Formation energy (no corrections) ... -0.215 eV per atom
Space-group type ... P4/mmm, No. 123
Offset from the most stable computed form ... 0.034 eV per atom


# 6
SrTa2Hg2: relaxed, GGA-PBEsol.

```
5
Lattice="4.695 0.000 0.000 0.000 4.695 0.000 -2.347 -2.347 5.594" Properties=species:S:1:pos:R:3 pbc="T T T"
Sr 0.000 0.000 0.000
Hg 0.000 2.347 2.797
Hg 2.347 0.000 2.797
Ta 0.000 0.000 4.337
Ta 2.347 2.347 1.256
```

Values from the calculation:
Magnetic moment ... 0.00 μB/f.u.
Space-group type ... I4/mmm, No. 139
Energy of formation from the pure elements ... 657 meV/atom


# 7
YTl2Ni: relaxed, GGA-PBEsol.

```
4
Lattice="4.551 0.000 0.000 0.000 4.551 0.000 -2.276 -2.276 4.120" Properties=species:S:1:pos:R:3 pbc="T T T"
Ni 2.276 0.000 2.060
Tl 0.000 0.000 0.000
Tl 0.000 2.276 2.060
Y 2.276 2.276 0.000
```

Values from the calculation:
Magnetic moment ... 0.00 μB/f.u.
Space-group type ... I-4m2, No. 119
Energy of formation from the pure elements ... -44 meV/atom


# 8
ZnSiN2F: relaxed, GGA-PBEsol.

```
5
Lattice="3.594 0.000 0.000 0.000 3.594 0.000 0.000 0.000 3.585" Properties=species:S:1:pos:R:3 pbc="T T T"
Zn 1.797 1.797 1.792
N 0.000 1.797 0.000
N 1.797 0.000 0.000
Si 0.000 0.000 0.000
F 0.000 0.000 1.792
```

Values from the calculation:
Magnetic moment ... 0.00 μB/f.u.
Formation energy (no corrections) ... -0.431 eV per atom
Space-group type ... P4/mmm, No. 123


# 9
Ba2IrRu: relaxed, GGA-PBEsol.

```
4
Lattice="4.380 0.000 0.000 0.000 4.939 0.000 0.000 -2.469 5.526" Properties=species:S:1:pos:R:3 pbc="T T T"
Ru 2.190 2.469 0.946
Ir 0.000 2.469 1.845
Ba 0.000 2.469 5.272
Ba 2.190 0.000 2.966
```

Values from the calculation:
Magnetic moment ... 0.00 μB/f.u.
Space-group type ... Amm2, No. 38
Energy of formation from the pure elements ... 167 meV/atom


# 10
BaSi: relaxed, GGA-PBEsol.

```
4
Lattice="4.012 0.000 0.000 0.000 4.482 0.000 0.000 0.000 8.552" Properties=species:S:1:pos:R:3 pbc="T T T"
Si 1.003 2.241 7.897
Si 3.009 2.241 0.655
Ba 1.003 0.000 1.968
Ba 3.009 0.000 6.583
```

Values from the calculation:
Magnetic moment ... 0.00 μB/f.u.
Formation energy (no corrections) ... -0.356 eV per atom
Space-group type ... Pmma, No. 51


# 11
Y2ReB6: relaxed, GGA-PBEsol.

```
36
Lattice="3.639 0.000 0.000 0.000 9.134 0.000 0.000 0.000 11.500" Properties=species:S:1:pos:R:3 pbc="T T T"
Y 0.000 7.517 0.991
Y 0.000 1.617 10.509
Y 0.000 2.950 4.759
Y 0.000 6.184 6.741
Y 0.000 4.043 1.495
Y 0.000 5.091 10.005
Y 0.000 8.610 4.255
Y 0.000 0.524 7.245
Re 0.000 1.265 2.063
Re 0.000 7.869 9.437
Re 0.000 5.832 3.687
Re 0.000 3.302 7.813
B 1.820 0.486 0.772
B 1.820 8.648 10.728
B 1.820 5.053 4.978
B 1.820 4.081 6.521
B 1.820 2.274 0.935
B 1.820 6.860 10.565
B 1.820 6.841 4.815
B 1.820 2.293 6.684
B 1.820 2.664 2.698
B 1.820 6.470 8.801
B 1.820 7.231 3.052
B 1.820 1.903 8.448
B 1.820 1.190 3.614
B 1.820 7.944 7.886
B 1.820 5.757 2.136
B 1.820 3.377 9.364
B 1.820 4.402 3.314
B 1.820 4.732 8.185
B 1.820 8.969 2.435
B 1.820 0.165 9.064
B 1.820 0.912 5.429
B 1.820 8.222 6.071
B 1.820 5.479 0.321
B 1.820 3.655 11.179
```

Values from the calculation:
Magnetic moment ... 0.00 μB/f.u.
Space-group type ... Pbam, No. 55
Energy of formation from the pure elements ... -694 meV/atom


# 12
LaCdFe3: relaxed, GGA-PBEsol.

```
5
Lattice="-2.704 2.757 2.405 1.855 -1.545 3.857 3.154 3.273 -0.206" Properties=species:S:1:pos:R:3 pbc="T T T"
Cd 1.152 2.243 3.028
Fe 0.927 -0.772 1.928
Fe 1.577 1.636 -0.103
Fe -1.352 1.379 1.202
La 0.000 0.000 0.000
```

Values from the calculation:
Magnetic moment ... 5.48 μB/f.u.
Space-group type ... Pm-3m, No. 221
Offset from the most stable computed form ... 0.392 eV per atom
Energy of formation from the pure elements ... 1583 meV/atom


# 13
BaSi: relaxed, GGA-PBEsol.

```
2
Lattice="-2.587 3.918 0.700 -4.105 -0.258 2.370 -0.350 1.866 4.350" Properties=species:S:1:pos:R:3 pbc="T T T"
Si -3.521 2.763 3.710
Ba 0.000 0.000 0.000
```

Values from the calculation:
Magnetic moment ... 1.39 μB/f.u.
Formation energy (no corrections) ... 0.315 eV per atom
Space-group type ... Fm-3m, No. 225


# 14
SmBiAu2: relaxed, GGA-PBEsol.

```
4
Lattice="5.047 0.000 0.000 2.524 4.371 0.000 2.524 1.457 4.121" Properties=species:S:1:pos:R:3 pbc="T T T"
Au 7.571 4.371 3.091
Au 2.524 1.457 1.030
Bi 5.047 2.914 2.060
Sm 0.000 0.000 0.000
```

Values from the calculation:
Magnetic moment ... 0.00 μB/f.u.
Space-group type ... Fm-3m, No. 225
Energy of formation from the pure elements ... -610 meV/atom


# 15
ZrAg2Hg: relaxed, GGA-PBEsol.

```
4
Lattice="4.234 0.000 0.000 0.000 4.234 0.000 0.000 0.000 4.264" Properties=species:S:1:pos:R:3 pbc="T T T"
Ag 0.000 2.117 0.000
Ag 2.117 0.000 0.000
Hg 2.117 2.117 2.132
Zr 0.000 0.000 2.132
```

Values from the calculation:
Magnetic moment ... 0.00 μB/f.u.
Space-group type ... P4/mmm, No. 123
Energy of formation from the pure elements ... 49 meV/atom


# 16
K2CuBiBr6: relaxed, GGA-PBEsol.

```
10
Lattice="7.642 0.000 0.000 3.821 6.618 0.000 3.821 2.206 6.240" Properties=species:S:1:pos:R:3 pbc="T T T"
K 11.463 6.618 4.680
K 3.821 2.206 1.560
Cu 7.642 4.412 3.120
Bi 0.000 0.000 0.000
Br 7.642 2.317 1.639
Br 9.456 5.460 1.639
Br 7.642 6.507 4.601
Br 9.456 3.365 4.601
Br 5.828 5.460 1.639
Br 5.828 3.365 4.601
```

Values from the calculation:
Magnetic moment ... 0.00 μB/f.u.
Formation energy (no corrections) ... -0.993 eV per atom
Space-group type ... Fm-3m, No. 225


# 17
Li2TiNiO4: relaxed, GGA-PBEsol.

```
16
Lattice="5.810 -0.001 -0.003 -2.845 5.065 0.003 2.878 1.715 4.746" Properties=species:S:1:pos:R:3 pbc="T T T"
Li 4.344 0.857 2.371
Li 0.017 3.390 2.375
Li 2.921 3.390 2.373
Li -1.423 2.533 0.002
Ti 1.439 0.857 2.373
Ti 2.905 0.000 -0.002
Ni 1.482 2.532 0.000
Ni 0.000 0.000 0.000
O 5.748 5.135 3.549
O 4.388 2.531 3.650
O 1.455 4.248 1.096
O 0.094 1.645 1.197
O 7.178 2.461 3.541
O 2.970 5.198 3.545
O 2.873 1.582 1.202
O -1.336 4.318 1.205
```

Values from the calculation:
Magnetic moment ... 1.96 μB/f.u.
Formation energy (no corrections) ... -2.120 eV per atom
Space-group type ... Imma, No. 74
Offset from the most stable computed form ... 0.003 eV per atom


# 18
ZrBeC3: relaxed, GGA-PBEsol.

```
5
Lattice="4.226 0.000 0.000 0.000 4.226 0.000 0.000 0.000 4.226" Properties=species:S:1:pos:R:3 pbc="T T T"
Be 2.113 2.113 2.113
C 0.000 2.113 0.000
C 0.000 0.000 2.113
C 2.113 0.000 0.000
Zr 0.000 0.000 0.000
```

Values from the calculation:
Magnetic moment ... 0.00 μB/f.u.
Space-group type ... Pm-3m, No. 221
Energy of formation from the pure elements ... 2574 meV/atom


# 19
NbTeH2Au: relaxed, GGA-PBEsol.

```
5
Lattice="-1.260 3.552 0.889 -2.355 -0.066 -3.074 -3.841 -2.111 2.988" Properties=species:S:1:pos:R:3 pbc="T T T"
H -1.178 -0.033 -1.537
H -0.630 1.776 0.445
Nb 0.000 0.000 0.000
Te -3.728 0.688 0.402
Au -1.920 -1.055 1.494
```

Values from the calculation:
Magnetic moment ... 0.69 μB/f.u.
Space-group type ... P4/mmm, No. 123
DFT total energy ... -22.68 eV per cell


# 20
MgRe2Pt: relaxed, GGA-PBEsol.

```
4
Lattice="4.038 0.000 0.000 -2.019 4.176 0.010 0.000 1.944 3.539" Properties=species:S:1:pos:R:3 pbc="T T T"
Mg 2.019 0.972 1.770
Pt 2.019 3.546 2.659
Re 0.000 0.000 0.000
Re 0.000 2.574 0.890
```

Values from the calculation:
Magnetic moment ... 0.00 μB/f.u.
Space-group type ... I-4m2, No. 119
Energy of formation from the pure elements ... 122 meV/atom


# 21
SnGe3Pt: relaxed, GGA-PBEsol.

```
5
Lattice="4.859 0.000 0.000 0.000 4.859 0.000 0.000 0.000 4.859" Properties=species:S:1:pos:R:3 pbc="T T T"
Ge 0.000 2.430 0.000
Ge 0.000 0.000 2.430
Ge 2.430 0.000 0.000
Sn 2.430 2.430 2.430
Pt 0.000 0.000 0.000
```

Values from the calculation:
Magnetic moment ... 0.00 μB/f.u.
Space-group type ... Pm-3m, No. 221
Energy of formation from the pure elements ... 271 meV/atom


# 22
CaLa2Cr: relaxed, GGA-PBEsol.

```
4
Lattice="-0.256 3.654 -0.514 -3.555 -0.106 1.015 2.453 1.406 8.741" Properties=species:S:1:pos:R:3 pbc="T T T"
Cr -0.679 2.477 4.620
Ca -1.905 1.774 0.250
La 1.688 0.968 6.017
La 0.508 4.092 2.209
```

Values from the calculation:
Magnetic moment ... 2.97 μB/f.u.
Space-group type ... P4/mmm, No. 123
Offset from the most stable computed form ... 0.000 eV per atom
Energy of formation from the pure elements ... 355 meV/atom


# 23
ScSbAu2: relaxed, GGA-PBEsol.

```
4
Lattice="-0.301 3.528 -0.725 -2.749 -0.727 -2.396 -3.928 0.557 4.338" Properties=species:S:1:pos:R:3 pbc="T T T"
Au -2.889 0.410 3.191
Au -1.038 0.147 1.147
Sb -1.525 1.400 -1.561
Sc -3.489 1.679 0.608
```

Values from the calculation:
Magnetic moment ... 0.00 μB/f.u.
Formation energy (no corrections) ... -0.527 eV per atom
Space-group type ... Pmmm, No. 47


# 24
Cd2AsSe: relaxed, GGA-PBEsol.

```
4
Lattice="-0.214 -4.887 -0.086 3.547 -2.566 -2.184 3.125 -2.633 2.690" Properties=species:S:1:pos:R:3 pbc="T T T"
As 0.000 0.000 0.000
Se 3.229 -5.043 0.210
Cd 1.615 -2.521 0.105
Cd 4.844 -7.564 0.315
```

Values from the calculation:
Magnetic moment ... 0.00 μB/f.u.
Formation energy (no corrections) ... 0.180 eV per atom
Space-group type ... Fm-3m, No. 225
Offset from the most stable computed form ... 0.140 eV per atom


# 25
YNiSe2: relaxed, GGA-PBEsol.

```
4
Lattice="3.726 0.000 0.000 0.000 4.325 0.019 -1.863 -0.055 5.252" Properties=species:S:1:pos:R:3 pbc="T T T"
Ni 1.863 2.882 3.039
Se 1.863 4.077 4.963
Se 0.000 1.756 2.435
Y 1.863 1.988 0.116
```

Values from the calculation:
Magnetic moment ... 0.00 μB/f.u.
Formation energy (no corrections) ... -1.039 eV per atom
Space-group type ... Cm, No. 8


# 26
H2Pd2Au: relaxed, GGA-PBEsol.

```
5
Lattice="3.010 0.000 0.000 0.000 3.010 0.000 -1.505 -1.505 5.775" Properties=species:S:1:pos:R:3 pbc="T T T"
H 0.000 1.505 2.887
H 1.505 0.000 2.887
Au 0.000 0.000 0.000
Pd 0.000 0.000 3.948
Pd 1.505 1.505 1.827
```

Values from the calculation:
Magnetic moment ... 0.00 μB/f.u.
Space-group type ... I4/mmm, No. 139
DFT total energy ... -23.09 eV per cell


# 27
RbAs3I: relaxed, GGA-PBEsol.

```
5
Lattice="-3.953 -5.186 0.496 3.233 -2.931 -4.872 4.086 -2.699 4.335" Properties=species:S:1:pos:R:3 pbc="T T T"
I 1.683 -5.408 -0.020
As 1.617 -1.465 -2.436
As 2.043 -1.350 2.168
As -1.977 -2.593 0.248
Rb 0.000 0.000 0.000
```

Values from the calculation:
Magnetic moment ... 8.32 μB/f.u.
Formation energy (no corrections) ... 1.718 eV per atom
Space-group type ... Pm-3m, No. 221